Entry 1:
Computed, not measured: a geometry-optimized P2IrPt structure at the PBE level of DFT.

Symmetry: Imm2, No. 44
Polymorph energy (0 for the lowest one), eV/atom: 0.511
Energy relative to the elements, eV per atom: 0.1242

Lattice parameters (Å, degrees): 5.1855 5.1855 5.1855 147.44 128.03 62.68
Closest atoms and distances in Å follow each position.
Sites, in units of the cell vectors:
P  0.0000  0.0000  0.0000  2 Pt 2.52, 4 Ir 2.71, 2 P 2.71
P  0.7420  0.2420  0.5000  2 Ir 2.40
Ir  0.5269  0.5269  0.0000  2 P 2.40
Pt  0.2330  0.7330  0.5000  6 P 2.52-2.70



Entry 2:
Computed, not measured: a geometry-optimized KRuRh2 structure at the PBE level of DFT.

Symmetry: Pm, No. 6
Polymorph energy (0 for the lowest one), eV/atom: 0.225
Energy relative to the elements, eV per atom: 0.6592

Lattice parameters (Å, degrees): 2.7235 4.2290 7.1148 90.00 100.37 90.00
Closest atoms and distances in Å follow each position.
Sites, in units of the cell vectors:
K  0.0000  0.0000  0.0000  2 K 2.72
Ru  0.2957  0.5000  0.6368  6 Rh 2.63-2.65, 2 Ru 2.72
Rh  0.6435  0.5000  0.3126  4 Rh 2.58-2.72, 2 Ru 2.65
Rh  0.7416  0.0000  0.5250  4 Rh 2.58-2.72, 4 Ru 2.63-2.64



Entry 3:
Computed, not measured: a geometry-optimized PrInIrPd structure at the PBE level of DFT.

Symmetry: F-43m, No. 216
Energy relative to the elements, eV per atom: -0.4938

Lattice parameters (Å, degrees): 4.8824 4.8824 4.8824 60.00 60.00 60.00
Closest atoms and distances in Å follow each position.
Sites, in units of the cell vectors:
Pr  0.0000  0.0000  0.0000  4 Ir 2.99, 4 Pd 2.99
In  0.5000  0.5000  0.5000  4 Pd 2.99, 4 Ir 2.99
Ir  0.2500  0.2500  0.2500  4 In 2.99, 4 Pr 2.99
Pd  0.7500  0.7500  0.7500  4 In 2.99, 4 Pr 2.99



Entry 4:
Computed, not measured: a geometry-optimized Na2Ca2Te structure at the PBE level of DFT.

Symmetry: P4/mbm, No. 127
Polymorph energy (0 for the lowest one), eV/atom: 0.129
Formation energy without anion corrections, eV per atom: -0.268

Lattice parameters (Å, degrees): 8.0216 8.0216 5.3867 90.00 90.00 90.00
Closest atoms and distances in Å follow each position.
Sites, in units of the cell vectors:
Na  0.1373  0.3627  0.0000  2 Te 3.11, 1 Na 3.11, 2 Ca 3.46
Na  0.3627  0.8627  0.0000  2 Te 3.11, 1 Na 3.11, 2 Ca 3.46
Na  0.6373  0.1373  0.0000  2 Te 3.11, 1 Na 3.11, 2 Ca 3.46
Na  0.8627  0.6373  0.0000  2 Te 3.11, 1 Na 3.11, 2 Ca 3.46
Ca  0.1719  0.6719  0.5000  6 Na 3.46-3.67
Ca  0.3281  0.1719  0.5000  6 Na 3.46-3.67
Ca  0.6719  0.8281  0.5000  6 Na 3.46-3.67
Ca  0.8281  0.3281  0.5000  6 Na 3.46-3.67
Te  0.0000  0.0000  0.0000  4 Na 3.11
Te  0.5000  0.5000  0.0000  4 Na 3.11